(1)
# RuBrCl (PBE, relaxed)
# formation energy (no corrections): -0.04 eV per atom
# Fermi-level density of states: 3.99 states/eV/cell
# calculated total energy: -4.31 eV/atom
# calculated volume: 31.008 A^3/atom
# ρ: 3863 kg/m3
# M_tot: 0.9 Bohr magnetons per cell
data_RuBrCl
_space_group_name_H-M_alt 'P -1'
_space_group_IT_number 2
_cell_length_a 3.5567
_cell_length_b 7.4753
_cell_length_c 7.7187
_cell_angle_alpha 70.32
_cell_angle_beta 77.03
_cell_angle_gamma 77.46
loop_
_space_group_symop_operation_xyz
'x,y,z'
'-x,-y,-z'
loop_
_atom_site_label
_atom_site_fract_x
_atom_site_fract_y
_atom_site_fract_z
_atom_site_occupancy
Ru1 0.2019 0.4969 0.1018 1
Br1 0.2446 0.1783 0.3118 1
Cl1 0.4313 0.3404 0.7773 1

---

(2)
# CaOs2Rh (PBE, relaxed)
# Fermi-level density of states: 7.75 states/eV/cell
# calculated total energy: -7.71 eV/atom
# energy of formation: 245 meV/atom
# calculated volume: 16.614 A^3/atom
# ρ: 13079 kg/m3
# M_tot: 0.0 Bohr magnetons per cell
data_CaOs2Rh
_space_group_name_H-M_alt 'C 1 2/m 1'
_space_group_IT_number 12
_cell_length_a 11.4623
_cell_length_b 2.7933
_cell_length_c 4.5133
_cell_angle_alpha 90.00
_cell_angle_beta 113.10
_cell_angle_gamma 90.00
loop_
_space_group_symop_operation_xyz
'x,y,z'
'-x,-y,-z'
'-x,y,-z'
'x,-y,z'
'x+1/2,y+1/2,z'
'-x+1/2,-y+1/2,-z'
'-x+1/2,y+1/2,-z'
'x+1/2,-y+1/2,z'
loop_
_atom_site_label
_atom_site_fract_x
_atom_site_fract_y
_atom_site_fract_z
_atom_site_occupancy
Ca1 0.0000 0.0000 0.0000 1
Os1 0.2186 0.0000 0.7186 1
Rh1 0.0000 0.5000 0.5000 1

---

(3)
# Pm2SmTm9 (PBE, relaxed)
# Fermi-level density of states: 18.53 states/eV/cell
# calculated total energy: -4.48 eV/atom
# energy of formation: 63 meV/atom
# calculated volume: 31.304 A^3/atom
# ρ: 8667 kg/m3
# M_tot: 0.0 Bohr magnetons per cell
data_Pm2SmTm9
_space_group_name_H-M_alt 'P 6/m m m'
_space_group_IT_number 191
_space_group_name_Hall '-P 6 2'
_cell_length_a 11.1470
_cell_length_b 11.1470
_cell_length_c 3.4909
_cell_angle_alpha 90.00
_cell_angle_beta 90.00
_cell_angle_gamma 120.00
loop_
_atom_site_label
_atom_site_fract_x
_atom_site_fract_y
_atom_site_fract_z
_atom_site_occupancy
Pm1 0.3333 0.6667 0.0000 1
Sm1 0.0000 0.0000 0.0000 1
Tm1 0.0000 0.5000 0.0000 1
Tm2 0.1760 0.3521 0.5000 1

---

(4)
# LaZr2Ge2 (PBE, relaxed)
# Fermi-level density of states: 9.15 states/eV/cell
# calculated total energy: -6.96 eV/atom
# energy of formation: -711 meV/atom
# calculated volume: 23.320 A^3/atom
# ρ: 6645 kg/m3
# M_tot: 0.0 Bohr magnetons per cell
data_LaZr2Ge2
_space_group_name_H-M_alt 'I 4/m m m'
_space_group_IT_number 139
_space_group_name_Hall '-I 4 2'
_cell_length_a 4.3191
_cell_length_b 4.3191
_cell_length_c 12.5010
_cell_angle_alpha 90.00
_cell_angle_beta 90.00
_cell_angle_gamma 90.00
loop_
_atom_site_label
_atom_site_fract_x
_atom_site_fract_y
_atom_site_fract_z
_atom_site_occupancy
La1 0.0000 0.0000 0.0000 1
Zr1 0.0000 0.5000 0.2500 1
Ge1 0.0000 0.0000 0.3965 1

---

(5)
# Be3PO (PBE, relaxed)
# formation energy (no corrections): -0.39 eV per atom
# Fermi-level density of states: 1.39 states/eV/cell
# calculated total energy: -4.70 eV/atom
# calculated volume: 9.197 A^3/atom
# ρ: 2673 kg/m3
# M_tot: 0.0 Bohr magnetons per cell
data_Be3PO
_space_group_name_H-M_alt 'P m -3 m'
_space_group_IT_number 221
_space_group_name_Hall '-P 4 2 3'
_cell_length_a 3.5827
_cell_length_b 3.5827
_cell_length_c 3.5827
_cell_angle_alpha 90.00
_cell_angle_beta 90.00
_cell_angle_gamma 90.00
loop_
_atom_site_label
_atom_site_fract_x
_atom_site_fract_y
_atom_site_fract_z
_atom_site_occupancy
Be1 0.0000 0.0000 0.5000 1
P1 0.5000 0.5000 0.5000 1
O1 0.0000 0.0000 0.0000 1

---

(6)
# YPu2Pd4 (PBE, relaxed)
# Fermi-level density of states: 35.76 states/eV/cell
# calculated total energy: -8.37 eV/atom
# energy of formation: -388 meV/atom
# calculated volume: 22.580 A^3/atom
# ρ: 10533 kg/m3
# M_tot: 22.6 Bohr magnetons per cell
data_YPu2Pd4
_space_group_name_H-M_alt 'C m m m'
_space_group_IT_number 65
_space_group_name_Hall '-C 2 2'
_cell_length_a 5.7699
_cell_length_b 10.5166
_cell_length_c 5.2096
_cell_angle_alpha 90.00
_cell_angle_beta 90.00
_cell_angle_gamma 90.00
loop_
_atom_site_label
_atom_site_fract_x
_atom_site_fract_y
_atom_site_fract_z
_atom_site_occupancy
Y1 0.0000 0.0000 0.0000 1
Pu1 0.0000 0.2662 0.5000 1
Pd1 0.2434 0.0000 0.5000 1
Pd2 0.2500 0.2500 0.0000 1

---

Q: What is the formula in the fourth record?
A: LaZr2Ge2

---

Q: Number 1 is which compound?
A: RuBrCl